4
Lattice="2.889 0.000 0.000 0.000 3.652 0.000 0.000 0.000 5.651" Properties=species:S:1:pos:R:3 comment="CuSi2Ag (GGA-PBE, relaxed)" spacegroup="Pmm2, No. 25" e_form_raw_kj_per_mol_fu=112 e_above_lowest_polymorph_mev_per_atom=78 crystal_system=orthorhombic pbc="T T T"
Cu 0.000 0.000 0.000
Si 0.000 0.000 2.467
Si 1.445 1.826 1.127
Ag 1.445 1.826 4.076

***

5
Lattice="4.813 0.000 0.000 0.000 4.813 0.000 0.000 0.000 4.813" Properties=species:S:1:pos:R:3 comment="CuSi3Ag (GGA-PBE, relaxed)" spacegroup="Pm-3m, No. 221" e_form_raw_kj_per_mol_fu=635 crystal_system=cubic pbc="T T T"
Cu 0.000 0.000 0.000
Si 0.000 2.407 2.407
Si 2.407 0.000 2.407
Si 2.407 2.407 0.000
Ag 2.407 2.407 2.407

***

4
Lattice="1.419 0.819 8.546 -1.419 0.819 8.546 0.000 -1.639 8.546" Properties=species:S:1:pos:R:3 comment="CuSi2Ag (GGA-PBE, relaxed)" spacegroup="R-3m, No. 166" e_form_raw_kj_per_mol_fu=87 e_above_lowest_polymorph_mev_per_atom=13 crystal_system=trigonal pbc="T T T"
Cu 0.000 0.000 0.000
Si 0.000 0.000 6.590
Si 0.000 0.000 19.049
Ag 0.000 0.000 12.819

***

Record-wise total energy values, in eV/atom: -4.16 -3.33 -4.22